A relaxed Dy3TmTh crystal. Source: the Alexandria database, functional GGA-PBE.

E above lowest polymorph: 0 meV per atom

Cell: 6.2184 5.6957 9.5128 Å, 90.00 109.05 90.00°
Closest atoms and distances in Å follow each position.
Positions (direct):
1 Dy 0.0653 0.2500 0.3019  6 Dy 3.51-3.63, 4 Th 3.53-3.63, 2 Tm 3.58-3.62
2 Dy 0.1329 0.7500 0.1015  7 Dy 3.53-3.63, 4 Tm 3.53-3.60, 1 Th 3.59
3 Dy 0.2650 0.2500 0.6989  5 Dy 3.51-3.60, 3 Tm 3.53-3.61, 4 Th 3.53-3.65
4 Dy 0.7350 0.7500 0.3011  5 Dy 3.51-3.60, 3 Tm 3.53-3.61, 4 Th 3.53-3.65
5 Dy 0.8671 0.2500 0.8985  7 Dy 3.53-3.63, 4 Tm 3.53-3.60, 1 Th 3.59
6 Dy 0.9347 0.7500 0.6981  6 Dy 3.51-3.63, 4 Th 3.53-3.63, 2 Tm 3.58-3.62
7 Tm 0.4686 0.2500 0.1002  2 Tm 3.52, 9 Dy 3.53-3.62, 1 Th 3.59
8 Tm 0.5314 0.7500 0.8998  2 Tm 3.52, 9 Dy 3.53-3.62, 1 Th 3.59
9 Th 0.3458 0.7500 0.5005  2 Th 3.43, 9 Dy 3.53-3.65, 1 Tm 3.59
10 Th 0.6542 0.2500 0.4995  2 Th 3.43, 9 Dy 3.53-3.65, 1 Tm 3.59

A relaxed Cs2HgBi crystal. Source: the Alexandria database, functional GGA-PBE.

E above lowest polymorph: 0 meV per atom

Cell: 6.5433 11.6774 5.9283 Å, 90.00 90.00 90.00°
Closest atoms and distances in Å follow each position.
Positions (direct):
1 Cs 0.0000 0.1811 0.0000  3 Hg 3.91-4.28, 3 Bi 4.07-4.13, 1 Cs 4.23
2 Cs 0.0000 0.8189 0.0000  3 Hg 3.91-4.28, 3 Bi 4.07-4.13, 1 Cs 4.23
3 Cs 0.5000 0.3189 0.5000  3 Hg 3.91-4.28, 3 Bi 4.07-4.13, 1 Cs 4.23
4 Cs 0.5000 0.6811 0.5000  3 Hg 3.91-4.28, 3 Bi 4.07-4.13, 1 Cs 4.23
5 Hg 0.0000 0.5000 0.1991  2 Bi 2.96-2.97
6 Hg 0.5000 0.0000 0.6991  2 Bi 2.96-2.97
7 Bi 0.0000 0.5000 0.6988  2 Hg 2.96-2.97
8 Bi 0.5000 0.0000 0.1988  2 Hg 2.96-2.97

A relaxed CaNdMgSi crystal. Source: the Alexandria database, functional GGA-PBE.

formation energy from raw total energies: -0.2281 eV/atom

Cell: 7.3974 7.3974 7.3974 Å, 90.00 90.00 90.00°
Closest atoms and distances in Å follow each position.
Positions (direct):
1 Ca 0.0000 0.0000 0.0000  4 Mg 3.20, 4 Si 3.20
2 Ca 0.0000 0.5000 0.5000  4 Mg 3.20, 4 Si 3.20
3 Ca 0.5000 0.0000 0.5000  4 Mg 3.20, 4 Si 3.20
4 Ca 0.5000 0.5000 0.0000  4 Mg 3.20, 4 Si 3.20
5 Nd 0.0000 0.0000 0.5000  4 Mg 3.20, 4 Si 3.20
6 Nd 0.0000 0.5000 0.0000  4 Mg 3.20, 4 Si 3.20
7 Nd 0.5000 0.0000 0.0000  4 Mg 3.20, 4 Si 3.20
8 Nd 0.5000 0.5000 0.5000  4 Mg 3.20, 4 Si 3.20
9 Mg 0.2500 0.2500 0.7500  4 Nd 3.20, 4 Ca 3.20
10 Mg 0.2500 0.7500 0.2500  4 Nd 3.20, 4 Ca 3.20
11 Mg 0.7500 0.2500 0.2500  4 Nd 3.20, 4 Ca 3.20
12 Mg 0.7500 0.7500 0.7500  4 Nd 3.20, 4 Ca 3.20
13 Si 0.2500 0.2500 0.2500  4 Nd 3.20, 4 Ca 3.20
14 Si 0.2500 0.7500 0.7500  4 Nd 3.20, 4 Ca 3.20
15 Si 0.7500 0.2500 0.7500  4 Nd 3.20, 4 Ca 3.20
16 Si 0.7500 0.7500 0.2500  4 Nd 3.20, 4 Ca 3.20

A relaxed YTa3Ge crystal. Source: the Alexandria database, functional GGA-PBE.

E above lowest polymorph: 0 meV per atom

Cell: 4.8548 4.8548 4.8548 Å, 90.00 90.00 90.00°
Closest atoms and distances in Å follow each position.
Positions (direct):
1 Y 0.0000 0.0000 0.0000  12 Ta 3.43
2 Ta 0.0000 0.5000 0.5000  2 Ge 2.43
3 Ta 0.5000 0.0000 0.5000  2 Ge 2.43
4 Ta 0.5000 0.5000 0.0000  2 Ge 2.43
5 Ge 0.5000 0.5000 0.5000  6 Ta 2.43

A relaxed NdTmSi2 crystal. Source: the Alexandria database, functional GGA-PBE.

formation energy from raw total energies: -0.4841 eV/atom
E above lowest polymorph: 280 meV per atom

Cell: 4.6029 4.6029 15.7283 Å, 90.00 90.00 120.00°
Closest atoms and distances in Å follow each position.
Positions (direct):
1 Nd 0.0000 0.0000 0.0000  6 Si 3.04
2 Nd 0.3333 0.6667 0.6667  6 Si 3.04
3 Nd 0.6667 0.3333 0.3333  6 Si 3.04
4 Tm 0.0000 0.0000 0.5000  6 Si 2.89
5 Tm 0.3333 0.6667 0.1667  6 Si 2.89
6 Tm 0.6667 0.3333 0.8333  6 Si 2.89
7 Si 0.0000 0.0000 0.2389  3 Tm 2.89, 3 Nd 3.04
8 Si 0.0000 0.0000 0.7611  3 Tm 2.89, 3 Nd 3.04
9 Si 0.3333 0.6667 0.4278  3 Tm 2.89, 3 Nd 3.04
10 Si 0.3333 0.6667 0.9056  3 Tm 2.89, 3 Nd 3.04
11 Si 0.6667 0.3333 0.0944  3 Tm 2.89, 3 Nd 3.04
12 Si 0.6667 0.3333 0.5722  3 Tm 2.89, 3 Nd 3.04

A relaxed AlCr2Os crystal. Source: the Alexandria database, functional GGA-PBE.

DFT total energy: -8.494 eV per atom

Cell: 5.0207 7.8080 2.6859 Å, 90.00 90.00 90.00°
Closest atoms and distances in Å follow each position.
Positions (direct):
1 Al 0.0000 0.0000 0.0000  2 Os 2.51, 8 Cr 2.68, 2 Al 2.69
2 Al 0.5000 0.5000 0.0000  2 Os 2.51, 8 Cr 2.68, 2 Al 2.69
3 Cr 0.2500 0.2500 0.5000  4 Cr 2.51-2.69, 4 Os 2.68, 4 Al 2.68
4 Cr 0.2500 0.7500 0.5000  4 Cr 2.51-2.69, 4 Os 2.68, 4 Al 2.68
5 Cr 0.7500 0.2500 0.5000  4 Cr 2.51-2.69, 4 Os 2.68, 4 Al 2.68
6 Cr 0.7500 0.7500 0.5000  4 Cr 2.51-2.69, 4 Os 2.68, 4 Al 2.68
7 Os 0.0000 0.5000 0.0000  2 Al 2.51, 8 Cr 2.68, 2 Os 2.69
8 Os 0.5000 0.0000 0.0000  2 Al 2.51, 8 Cr 2.68, 2 Os 2.69

A relaxed PmSmRe4 crystal. Source: the Alexandria database, functional GGA-PBE.

DFT total energy: -9.894 eV per atom

Cell: 5.4826 5.4826 5.4826 Å, 60.00 60.00 60.00°
Closest atoms and distances in Å follow each position.
Positions (direct):
1 Pm 0.0000 0.0000 0.0000  12 Re 3.21, 4 Sm 3.36
2 Sm 0.2500 0.2500 0.2500  12 Re 3.21, 4 Pm 3.36
3 Re 0.1250 0.6250 0.6250  6 Re 2.74
4 Re 0.6250 0.1250 0.6250  6 Re 2.74
5 Re 0.6250 0.6250 0.1250  6 Re 2.74
6 Re 0.6250 0.6250 0.6250  6 Re 2.74

A relaxed Tm5In2Sb crystal. Source: the Alexandria database, functional GGA-PBE.

formation energy from raw total energies: -0.4976 eV/atom
E above lowest polymorph: 0 meV per atom

Cell: 8.6597 8.6597 8.6597 Å, 123.03 123.03 84.83°
Closest atoms and distances in Å follow each position.
Positions (direct):
1 Tm 0.0000 0.0000 0.0000  4 In 3.17, 2 Sb 3.20
2 Tm 0.0015 0.5015 0.8068  3 In 3.05-3.14, 2 Sb 3.37, 1 Tm 3.38
3 Tm 0.1948 0.0015 0.5000  3 In 3.05-3.14, 2 Sb 3.37, 1 Tm 3.38
4 Tm 0.3052 0.8052 0.8068  3 In 3.05-3.14, 2 Sb 3.37, 1 Tm 3.38
5 Tm 0.4985 0.3052 0.5000  3 In 3.05-3.14, 2 Sb 3.37, 1 Tm 3.38
6 Tm 0.5000 0.5000 0.0000  4 In 3.17, 2 Sb 3.20
7 Tm 0.5015 0.6948 0.5000  3 In 3.05-3.14, 2 Sb 3.37, 1 Tm 3.38
8 Tm 0.6948 0.1948 0.1932  3 In 3.05-3.14, 2 Sb 3.37, 1 Tm 3.38
9 Tm 0.8052 0.9985 0.5000  3 In 3.05-3.14, 2 Sb 3.37, 1 Tm 3.38
10 Tm 0.9985 0.4985 0.1932  3 In 3.05-3.14, 2 Sb 3.37, 1 Tm 3.38
11 In 0.1452 0.3548 0.5000  8 Tm 3.05-3.17, 1 In 3.39
12 In 0.3548 0.8548 0.2096  8 Tm 3.05-3.17, 1 In 3.39
13 In 0.6452 0.1452 0.7904  8 Tm 3.05-3.17, 1 In 3.39
14 In 0.8548 0.6452 0.5000  8 Tm 3.05-3.17, 1 In 3.39
15 Sb 0.2500 0.2500 0.0000  10 Tm 3.20-3.37
16 Sb 0.7500 0.7500 0.0000  10 Tm 3.20-3.37

A relaxed PmInRu crystal. Source: the Alexandria database, functional GGA-PBE.

E above lowest polymorph: 127 meV per atom

Cell: 8.0656 8.0656 3.5286 Å, 90.00 90.00 120.00°
Closest atoms and distances in Å follow each position.
Positions (direct):
1 Pm 0.0000 0.2823 0.0000  4 Ru 2.88-2.92
2 Pm 0.2823 0.0000 0.0000  4 Ru 2.88-2.92
3 Pm 0.7177 0.7177 0.0000  4 Ru 2.88-2.92
4 In 0.0000 0.6206 0.5000  5 Ru 3.06-3.08, 6 Pm 3.25-3.27
5 In 0.3794 0.3794 0.5000  5 Ru 3.06-3.08, 6 Pm 3.25-3.27
6 In 0.6206 0.0000 0.5000  5 Ru 3.06-3.08, 6 Pm 3.25-3.27
7 Ru 0.0000 0.0000 0.5000  6 Pm 2.88, 3 In 3.06
8 Ru 0.3333 0.6667 0.0000  3 Pm 2.92, 6 In 3.08
9 Ru 0.6667 0.3333 0.0000  3 Pm 2.92, 6 In 3.08

A relaxed SrNd4Au5 crystal. Source: the Alexandria database, functional GGA-PBE.

DFT total energy: -4.473 eV per atom

Cell: 3.7290 3.7290 18.9071 Å, 90.00 90.00 90.00°
Closest atoms and distances in Å follow each position.
Positions (direct):
1 Sr 0.0000 0.0000 0.0000  8 Au 3.40, 4 Sr 3.73
2 Nd 0.0000 0.0000 0.2031  8 Au 3.13-3.24
3 Nd 0.0000 0.0000 0.4018  8 Au 3.22-3.24
4 Nd 0.0000 0.0000 0.5982  8 Au 3.22-3.24
5 Nd 0.0000 0.0000 0.7969  8 Au 3.13-3.24
6 Au 0.5000 0.5000 0.1134  4 Nd 3.13, 4 Sr 3.40
7 Au 0.5000 0.5000 0.3024  8 Nd 3.24, 1 Au 3.57
8 Au 0.5000 0.5000 0.5000  8 Nd 3.22
9 Au 0.5000 0.5000 0.6976  8 Nd 3.24, 1 Au 3.57
10 Au 0.5000 0.5000 0.8866  4 Nd 3.13, 4 Sr 3.40

A relaxed CsCd2AgBr6 crystal. Source: the Alexandria database, functional GGA-PBE.

formation energy from raw total energies: -0.9234 eV/atom

Cell: 10.5804 10.5804 8.1139 Å, 103.76 103.76 91.24°
Closest atoms and distances in Å follow each position.
Positions (direct):
1 Cs 0.1217 0.8783 0.7500  6 Br 3.57-3.66
2 Cs 0.8783 0.1217 0.2500  6 Br 3.57-3.66
3 Cd 0.2369 0.3808 0.8174  4 Br 2.62-2.71
4 Cd 0.3808 0.2369 0.3174  4 Br 2.62-2.71
5 Cd 0.6192 0.7631 0.6826  4 Br 2.62-2.71
6 Cd 0.7631 0.6192 0.1826  4 Br 2.62-2.71
7 Ag 0.2340 0.7660 0.2500  2 Br 2.60
8 Ag 0.7660 0.2340 0.7500  2 Br 2.60
9 Br 0.0371 0.2050 0.7073  1 Cd 2.62
10 Br 0.1480 0.6061 0.9419  1 Ag 2.60, 1 Cd 2.64
11 Br 0.2050 0.0371 0.2073  1 Cd 2.62
12 Br 0.3089 0.4314 0.5394  2 Cd 2.65-2.71
13 Br 0.3939 0.8520 0.5581  1 Ag 2.60, 1 Cd 2.64
14 Br 0.4314 0.3089 0.0394  2 Cd 2.65-2.71
15 Br 0.5686 0.6911 0.9606  2 Cd 2.65-2.71
16 Br 0.6061 0.1480 0.4419  1 Ag 2.60, 1 Cd 2.64
17 Br 0.6911 0.5686 0.4606  2 Cd 2.65-2.71
18 Br 0.7950 0.9629 0.7927  1 Cd 2.62
19 Br 0.8520 0.3939 0.0581  1 Ag 2.60, 1 Cd 2.64
20 Br 0.9629 0.7950 0.2927  1 Cd 2.62

A relaxed AsSe2NCl crystal. Source: the Alexandria database, functional GGA-PBE.

formation energy from raw total energies: 1.0239 eV/atom
E above lowest polymorph: 30 meV per atom

Cell: 5.3223 5.3223 3.5869 Å, 90.00 90.00 90.00°
Closest atoms and distances in Å follow each position.
Positions (direct):
1 As 0.0000 0.0000 0.0000  2 N 1.79
2 Se 0.0000 0.5000 0.0000  2 As 2.66
3 Se 0.5000 0.0000 0.0000  2 As 2.66
4 N 0.0000 0.0000 0.5000  2 As 1.79
5 Cl 0.5000 0.5000 0.5000  8 Se 3.21, 2 Cl 3.59